30
Lattice="6.577 0.000 0.000 0.000 6.577 0.000 0.000 0.000 24.911" Properties=species:S:1:pos:R:3 comment="Tl12HgSb2 PBE relaxed" e_form_raw_mev_per_atom=99 dft_energy_ev_per_cell=-70.9 magmom_total_mub_per_cell=0.00 pbc="T T T"
Tl 0.022 3.310 2.544
Tl 0.022 6.555 22.367
Tl 0.499 3.788 13.921
Tl 0.499 6.077 10.991
Tl 1.644 1.644 5.467
Tl 1.644 1.644 8.648
Tl 1.644 1.644 16.263
Tl 1.644 1.644 19.444
Tl 2.789 3.788 10.991
Tl 2.789 6.077 13.921
Tl 3.267 3.310 22.367
Tl 3.267 6.555 2.544
Tl 3.310 0.022 22.367
Tl 3.310 3.267 2.544
Tl 3.788 0.499 10.991
Tl 3.788 2.789 13.921
Tl 4.932 4.932 5.467
Tl 4.932 4.932 8.648
Tl 4.932 4.932 16.263
Tl 4.932 4.932 19.444
Tl 6.077 0.499 13.921
Tl 6.077 2.789 10.991
Tl 6.555 0.022 2.544
Tl 6.555 3.267 22.367
Hg 1.644 4.932 0.000
Hg 4.932 1.644 0.000
Sb 1.644 4.932 4.896
Sb 1.644 4.932 20.015
Sb 4.932 1.644 4.896
Sb 4.932 1.644 20.015

---

10
Lattice="5.882 0.000 0.000 0.000 5.882 0.000 0.000 0.000 4.332" Properties=species:S:1:pos:R:3 comment="K2PuReO6 PBE relaxed" e_form_raw_mev_per_atom=-2123 dft_energy_ev_per_cell=-80.0 magmom_total_mub_per_cell=4.94 pbc="T T T"
K 0.000 2.941 0.000
K 2.941 0.000 0.000
Pu 0.000 0.000 2.085
Re 2.941 2.941 2.346
O 0.000 0.000 4.226
O 1.610 1.610 2.039
O 1.610 4.272 2.039
O 2.941 2.941 4.138
O 4.272 1.610 2.039
O 4.272 4.272 2.039

---

5
Lattice="6.784 0.000 0.000 0.000 6.784 0.000 0.000 0.000 5.683" Properties=species:S:1:pos:R:3 comment="CsRb2PbAu PBE relaxed" e_above_lowest_polymorph_mev_per_atom=0 formation_energy_ev_per_fu=-0.5 dft_energy_ev_per_cell=-10.2 magmom_total_mub_per_cell=0.12 pbc="T T T"
Cs 0.000 0.000 0.000
Rb 0.000 3.392 2.842
Rb 3.392 0.000 2.842
Pb 3.392 3.392 0.000
Au 3.392 3.392 2.842

---

21
Lattice="3.664 2.116 5.905 -3.664 2.116 5.905 0.000 -4.231 5.905" Properties=species:S:1:pos:R:3 comment="MgAg4Ru4O12 PBE relaxed" e_form_raw_mev_per_atom=-697 e_above_lowest_polymorph_mev_per_atom=0 dft_energy_ev_per_cell=-124.2 magmom_total_mub_per_cell=0.00 pbc="T T T"
Mg 0.000 0.000 0.000
Ag -1.408 -0.813 10.734
Ag 1.408 -0.813 10.734
Ag 0.000 1.626 10.734
Ag 0.000 0.000 13.151
Ru 0.000 0.000 4.689
Ru 0.000 -2.048 7.688
Ru -1.774 1.024 7.688
Ru 1.774 1.024 7.688
O 0.000 -1.724 5.734
O -1.493 0.862 5.734
O -1.405 -0.811 8.062
O -2.253 -1.301 13.031
O 0.000 -2.617 9.530
O -2.266 1.308 9.530
O 1.405 -0.811 8.062
O 0.000 1.622 8.062
O 1.493 0.862 5.734
O 2.253 -1.301 13.031
O 0.000 2.602 13.031
O 2.266 1.308 9.530

---

5
Lattice="5.007 0.000 0.000 0.000 5.007 0.000 0.000 0.000 5.178" Properties=species:S:1:pos:R:3 comment="MnNbSb2Te PBE relaxed" e_form_raw_mev_per_atom=764 e_above_lowest_polymorph_mev_per_atom=0 dft_energy_ev_per_cell=-26.8 magmom_total_mub_per_cell=5.66 pbc="T T T"
Mn 0.000 0.000 0.000
Nb 2.504 2.504 2.589
Sb 0.000 2.504 0.000
Sb 2.504 0.000 0.000
Te 0.000 0.000 2.589

---

10
Lattice="5.838 -2.446 0.000 5.838 2.446 0.000 -1.822 0.000 5.381" Properties=species:S:1:pos:R:3 comment="TiZn2Pd2 PBE relaxed" e_above_lowest_polymorph_mev_per_atom=32 formation_energy_ev_per_fu=-1.8 dft_energy_ev_per_cell=-45.2 magmom_total_mub_per_cell=0.00 pbc="T T T"
Ti 4.472 1.954 4.036
Ti 5.383 -1.954 1.345
Zn 4.458 0.467 0.272
Zn 3.547 -0.467 2.962
Zn 6.307 0.467 2.419
Zn 5.396 -0.467 5.109
Pd 1.040 0.454 3.457
Pd 1.951 -0.454 0.767
Pd 7.903 0.454 4.614
Pd 8.814 -0.454 1.924

---

5
Lattice="-2.853 2.853 5.542 2.853 -2.853 5.542 2.853 2.853 -5.542" Properties=species:S:1:pos:R:3 comment="K2BaSi2 PBE relaxed" e_form_raw_mev_per_atom=499 e_above_lowest_polymorph_mev_per_atom=506 dft_energy_ev_per_cell=-12.5 magmom_total_mub_per_cell=0.00 pbc="T T T"
K 0.000 0.000 1.486
K 0.000 0.000 9.598
Ba 0.000 0.000 5.542
Si 2.853 0.000 2.771
Si 0.000 2.853 2.771

---

12
Lattice="6.296 0.000 0.000 0.000 3.652 0.000 -1.911 0.000 9.281" Properties=species:S:1:pos:R:3 comment="LaNdThN3 PBE relaxed" e_form_raw_mev_per_atom=-1323 dft_energy_ev_per_cell=-100.1 magmom_total_mub_per_cell=0.00 pbc="T T T"
La 0.590 0.913 1.722
La 3.795 2.739 7.558
Nd 0.582 0.913 7.993
Nd 3.803 2.739 1.288
Th 0.629 2.739 5.056
Th 3.756 0.913 4.225
N -0.972 0.913 6.040
N 1.530 2.739 0.037
N 2.244 2.739 3.321
N 2.141 0.913 5.959
N 2.855 0.913 9.244
N 5.357 2.739 3.241

---

8
Lattice="-2.739 2.739 2.977 2.739 -2.739 2.977 2.739 2.739 -2.977" Properties=species:S:1:pos:R:3 comment="Na2BRhO4 PBE relaxed" e_form_raw_mev_per_atom=-1444 dft_energy_ev_per_cell=-48.1 magmom_total_mub_per_cell=2.03 pbc="T T T"
Na 0.000 0.000 0.000
Na 0.000 2.739 1.489
B 2.739 0.000 1.489
Rh 0.000 0.000 2.977
O 0.977 2.000 -0.621
O 3.479 0.977 0.621
O 1.762 0.739 2.356
O -0.739 1.762 3.598

---

16
Lattice="4.084 0.000 0.000 0.000 4.084 0.000 0.000 0.000 16.219" Properties=species:S:1:pos:R:3 comment="SmSn3Pd12 PBE relaxed" formation_energy_ev_per_fu=-9.3 dft_energy_ev_per_cell=-88.3 magmom_total_mub_per_cell=0.00 pbc="T T T"
Sm 0.000 0.000 0.000
Sn 0.000 0.000 4.120
Sn 0.000 0.000 8.109
Sn 0.000 0.000 12.098
Pd 0.000 2.042 2.150
Pd 0.000 2.042 6.111
Pd 0.000 2.042 10.108
Pd 0.000 2.042 14.069
Pd 2.042 0.000 2.150
Pd 2.042 0.000 6.111
Pd 2.042 0.000 10.108
Pd 2.042 0.000 14.069
Pd 2.042 2.042 0.000
Pd 2.042 2.042 4.129
Pd 2.042 2.042 8.109
Pd 2.042 2.042 12.090

---

5
Lattice="-1.982 1.982 6.920 1.982 -1.982 6.920 1.982 1.982 -6.920" Properties=species:S:1:pos:R:3 comment="NdYBiO2 PBE relaxed" e_form_raw_mev_per_atom=-2602 dft_energy_ev_per_cell=-38.0 magmom_total_mub_per_cell=0.00 pbc="T T T"
Nd 0.000 0.000 0.000
Y 0.000 0.000 4.627
Bi 0.000 0.000 9.260
O 1.982 0.000 5.694
O 0.000 1.982 5.694

---

6
Lattice="3.247 0.000 0.000 0.000 3.247 0.000 0.000 0.000 9.744" Properties=species:S:1:pos:R:3 comment="Hf3TcRu2 PBE relaxed" formation_energy_ev_per_fu=-4.4 dft_energy_ev_per_cell=-63.2 magmom_total_mub_per_cell=0.00 pbc="T T T"
Hf 0.000 0.000 0.000
Hf 0.000 0.000 3.266
Hf 0.000 0.000 6.477
Tc 1.624 1.624 4.872
Ru 1.624 1.624 1.599
Ru 1.624 1.624 8.145

---

12
Lattice="2.122 -9.866 0.000 2.122 9.866 0.000 0.000 0.000 5.819" Properties=species:S:1:pos:R:3 comment="NdYPd4 PBE relaxed" e_above_lowest_polymorph_mev_per_atom=0 formation_energy_ev_per_fu=-5.0 dft_energy_ev_per_cell=-74.0 magmom_total_mub_per_cell=0.00 pbc="T T T"
Nd 2.122 5.461 4.364
Nd 2.122 -5.461 1.455
Y 2.122 8.361 1.455
Y 2.122 -8.361 4.364
Pd 2.122 8.446 4.364
Pd 2.122 2.858 0.057
Pd 2.122 2.858 2.853
Pd 2.122 0.000 0.000
Pd 2.122 0.000 2.910
Pd 2.122 -2.858 2.966
Pd 2.122 -2.858 5.763
Pd 2.122 -8.446 1.455

---

19
Lattice="5.326 3.075 5.176 -5.326 3.075 5.176 0.000 -6.150 5.176" Properties=species:S:1:pos:R:3 comment="Ba2Mg15Tl2 PBE relaxed" formation_energy_ev_per_fu=-1.7 dft_energy_ev_per_cell=-34.2 magmom_total_mub_per_cell=0.00 pbc="T T T"
Ba 0.000 0.000 2.576
Ba 0.000 0.000 12.952
Mg -2.663 -1.538 5.176
Mg 0.000 -3.133 4.992
Mg -2.713 1.567 4.992
Mg -1.586 -2.748 7.764
Mg -3.173 0.000 7.764
Mg -2.713 -1.567 10.536
Mg -2.663 1.538 10.352
Mg 1.586 -2.748 7.764
Mg 0.000 3.075 5.176
Mg -1.586 2.748 7.764
Mg 2.713 1.567 4.992
Mg 3.173 0.000 7.764
Mg 1.586 2.748 7.764
Mg 2.713 -1.567 10.536
Mg 0.000 3.133 10.536
Tl 0.000 0.000 6.178
Tl 0.000 0.000 9.350

---

7
Lattice="4.161 -1.418 0.000 4.161 1.418 0.000 -2.685 0.000 6.203" Properties=species:S:1:pos:R:3 comment="Ni3B2Ir2 PBE relaxed" formation_energy_ev_per_fu=-1.2 dft_energy_ev_per_cell=-49.6 magmom_total_mub_per_cell=0.00 pbc="T T T"
Ni 0.000 0.000 0.000
Ni -0.181 0.000 2.677
Ni 5.817 0.000 3.527
B 0.832 0.000 4.709
B 4.804 0.000 1.494
Ir 2.258 0.000 1.224
Ir 3.378 0.000 4.979

---

4
Lattice="0.000 3.535 3.535 3.535 0.000 3.535 3.535 3.535 0.000" Properties=species:S:1:pos:R:3 comment="SrTlPd2 PBE relaxed" formation_energy_ev_per_fu=-1.5 dft_energy_ev_per_cell=-16.0 magmom_total_mub_per_cell=0.00 pbc="T T T"
Sr 0.000 0.000 0.000
Tl 3.535 3.535 3.535
Pd 1.768 1.768 1.768
Pd 5.303 5.303 5.303

---

6
Lattice="14.125 0.000 0.000 0.000 1.268 2.198 0.000 -1.268 2.198" Properties=species:S:1:pos:R:3 comment="BeZnF PBE relaxed" e_form_raw_mev_per_atom=-1160 dft_energy_ev_per_cell=-20.7 magmom_total_mub_per_cell=0.00 pbc="T T T"
Be 0.000 0.000 0.000
Be 7.062 0.000 0.946
Zn 4.961 0.000 3.879
Zn 9.164 0.000 3.879
F 1.053 0.000 1.469
F 13.072 0.000 1.469

---

4
Lattice="-1.830 2.634 4.411 1.830 -2.634 4.411 1.830 2.634 -4.411" Properties=species:S:1:pos:R:3 comment="AlTl2Ni PBE relaxed" e_above_lowest_polymorph_mev_per_atom=357 formation_energy_ev_per_fu=1.5 dft_energy_ev_per_cell=-12.7 magmom_total_mub_per_cell=0.00 pbc="T T T"
Al 0.000 0.000 0.000
Tl 1.830 0.000 2.436
Tl 0.000 2.634 1.974
Ni 0.000 0.000 4.411

---

5
Lattice="5.780 0.000 0.000 0.000 5.780 0.000 0.000 0.000 5.780" Properties=species:S:1:pos:R:3 comment="SbSeI3 PBE relaxed" e_form_raw_mev_per_atom=459 e_above_lowest_polymorph_mev_per_atom=645 dft_energy_ev_per_cell=-10.0 magmom_total_mub_per_cell=1.92 pbc="T T T"
Sb 0.000 0.000 0.000
Se 2.890 2.890 2.890
I 0.000 2.890 2.890
I 2.890 0.000 2.890
I 2.890 2.890 0.000

---

5
Lattice="5.528 0.000 0.000 0.000 5.528 0.000 0.000 0.000 3.883" Properties=species:S:1:pos:R:3 comment="SiAsBr2F PBE relaxed" e_form_raw_mev_per_atom=248 e_above_lowest_polymorph_mev_per_atom=151 dft_energy_ev_per_cell=-14.1 magmom_total_mub_per_cell=0.00 pbc="T T T"
Si 0.000 0.000 0.000
As 2.764 2.764 0.000
Br 0.000 2.764 1.941
Br 2.764 0.000 1.941
F 2.764 2.764 1.941